Density functional theory data (GGA-PBE) for an optimized crystal structure of BaCrIn2.

Unit cell a=6.794 b=6.794 c=6.794 alpha=41.60 beta=41.60 gamma=41.60
Site moments in Bohr magnetons follow the coordinates.
Element x y z (fractional)
Ba1 0.250 0.250 0.250  -0.02
Cr1 0.750 0.750 0.750  3.71
In1 0.045 0.045 0.045  -0.06
In2 0.455 0.455 0.455  -0.06

Properties
**Symmetry**: R-3m (166)
**Final energy**: -4.27 eV per atom
**Crystal system**: trigonal
**Magnetization**: 4.02 μB per formula unit